{"formula": "RbHgC3S3N3", "functional": "PBE", "state": "relaxed", "sg": "P2_1/m, No. 11", "crystal_system": "monoclinic", "lattice": [[-6.993, 7.684, 4.178], [0.013, -1.973, 3.652], [11.208, 2.295, 1.199]], "species": ["C", "C", "C", "C", "C", "C", "Hg", "Hg", "N", "N", "N", "N", "N", "N", "Rb", "Rb", "S", "S", "S", "S", "S", "S"], "frac_coords": [[0.037, 0.750, 0.140], [0.474, 0.250, 0.224], [0.802, 0.750, 0.410], [0.198, 0.250, 0.590], [0.526, 0.750, 0.776], [0.963, 0.250, 0.860], [0.277, 0.250, 0.354], [0.723, 0.750, 0.646], [0.448, 0.250, 0.113], [0.923, 0.750, 0.113], [0.742, 0.750, 0.297], [0.258, 0.250, 0.703], [0.077, 0.250, 0.887], [0.552, 0.750, 0.887], [0.719, 0.250, 0.095], [0.281, 0.750, 0.905], [0.197, 0.750, 0.175], [0.512, 0.250, 0.380], [0.104, 0.250, 0.432], [0.896, 0.750, 0.568], [0.488, 0.750, 0.620], [0.803, 0.250, 0.825]]}

=====

{"formula": "Zr4Hg2CN", "functional": "PBE", "state": "relaxed", "sg": "P-3m1, No. 164", "m_tot_mub_per_fu": 0.003, "crystal_system": "trigonal", "lattice": [[3.348, 0.000, 0.000], [-1.674, 2.900, 0.000], [0.000, 0.000, 14.767]], "species": ["C", "Hg", "Hg", "N", "Zr", "Zr", "Zr", "Zr"], "frac_coords": [[0.000, 0.000, 0.000], [0.667, 0.333, 0.253], [0.333, 0.667, 0.747], [0.000, 0.000, 0.500], [0.333, 0.667, 0.085], [0.333, 0.667, 0.418], [0.667, 0.333, 0.582], [0.667, 0.333, 0.915]]}

=====

{"formula": "Nd3HgC", "functional": "PBE", "state": "relaxed", "sg": "Pnma, No. 62", "m_tot_mub_per_fu": 0.016, "crystal_system": "orthorhombic", "lattice": [[-3.865, 8.009, -1.359], [-2.221, -0.566, 2.985], [10.539, 6.630, 9.100]], "species": ["C", "C", "C", "C", "Hg", "Hg", "Hg", "Hg", "Nd", "Nd", "Nd", "Nd", "Nd", "Nd", "Nd", "Nd", "Nd", "Nd", "Nd", "Nd"], "frac_coords": [[0.655, 0.250, 0.054], [0.155, 0.250, 0.446], [0.845, 0.750, 0.554], [0.345, 0.750, 0.946], [0.084, 0.750, 0.173], [0.584, 0.750, 0.327], [0.416, 0.250, 0.673], [0.916, 0.250, 0.827], [0.177, 0.250, 0.004], [0.474, 0.750, 0.098], [0.785, 0.250, 0.197], [0.285, 0.250, 0.303], [0.974, 0.750, 0.402], [0.677, 0.250, 0.496], [0.323, 0.750, 0.504], [0.026, 0.250, 0.598], [0.715, 0.750, 0.697], [0.215, 0.750, 0.803], [0.526, 0.250, 0.902], [0.823, 0.750, 0.996]]}

=====

{"formula": "Ni4HgC2S", "functional": "PBE", "state": "relaxed", "sg": "P-6m2, No. 187", "m_tot_mub_per_fu": 0.001, "crystal_system": "hexagonal", "lattice": [[3.079, 0.000, 0.000], [-1.539, 2.666, 0.000], [0.000, 0.000, 11.475]], "species": ["C", "C", "Hg", "Ni", "Ni", "Ni", "Ni", "S"], "frac_coords": [[0.667, 0.333, 0.265], [0.667, 0.333, 0.735], [0.333, 0.667, 0.000], [0.000, 0.000, 0.194], [0.333, 0.667, 0.349], [0.333, 0.667, 0.651], [0.000, 0.000, 0.806], [0.000, 0.000, 0.500]]}

=====

{"formula": "Y2HgOsC", "functional": "PBE", "state": "relaxed", "sg": "P4/mmm, No. 123", "m_tot_mub_per_fu": 0.015, "crystal_system": "tetragonal", "lattice": [[5.041, 0.000, 0.000], [0.000, 5.041, 0.000], [0.000, 0.000, 3.924]], "species": ["C", "Hg", "Os", "Y", "Y"], "frac_coords": [[0.000, 0.000, 0.000], [0.500, 0.500, 0.500], [0.000, 0.000, 0.500], [0.500, 0.000, 0.000], [0.000, 0.500, 0.000]]}

=====

{"formula": "HgSbPb4C2", "functional": "PBE", "state": "relaxed", "sg": "P-6m2, No. 187", "crystal_system": "hexagonal", "lattice": [[3.670, 0.000, 0.000], [-1.835, 3.178, 0.000], [0.000, 0.000, 16.804]], "species": ["C", "C", "Hg", "Pb", "Pb", "Pb", "Pb", "Sb"], "frac_coords": [[0.333, 0.667, 0.247], [0.333, 0.667, 0.753], [0.000, 0.000, 0.000], [0.667, 0.333, 0.168], [0.000, 0.000, 0.335], [0.000, 0.000, 0.665], [0.667, 0.333, 0.832], [0.667, 0.333, 0.500]]}

=====

{"formula": "Sc4HgPbC2", "functional": "PBE", "state": "relaxed", "sg": "P-6m2, No. 187", "m_tot_mub_per_fu": 0.595, "crystal_system": "hexagonal", "lattice": [[-3.352, -0.427, -0.078], [2.020, -2.192, -1.594], [0.776, -8.393, 12.526]], "species": ["C", "C", "Hg", "Pb", "Sc", "Sc", "Sc", "Sc"], "frac_coords": [[0.000, 0.000, 0.249], [0.000, 0.000, 0.751], [0.667, 0.333, 0.000], [0.333, 0.667, 0.500], [0.333, 0.667, 0.167], [0.667, 0.333, 0.328], [0.667, 0.333, 0.672], [0.333, 0.667, 0.833]]}

=====

{"formula": "HgPd4C2S", "functional": "PBE", "state": "relaxed", "sg": "P-6m2, No. 187", "crystal_system": "hexagonal", "lattice": [[3.232, 0.000, 0.000], [-1.616, 2.799, 0.000], [0.000, 0.000, 12.724]], "species": ["C", "C", "Hg", "Pd", "Pd", "Pd", "Pd", "S"], "frac_coords": [[0.333, 0.667, 0.264], [0.333, 0.667, 0.736], [0.000, 0.000, 0.000], [0.667, 0.333, 0.179], [0.000, 0.000, 0.354], [0.000, 0.000, 0.646], [0.667, 0.333, 0.821], [0.667, 0.333, 0.500]]}

=====

{"formula": "Sc4HgC2S", "functional": "PBE", "state": "relaxed", "sg": "P-6m2, No. 187", "m_tot_mub_per_fu": 0.937, "crystal_system": "hexagonal", "lattice": [[3.409, 0.000, 0.000], [-1.705, 2.952, 0.000], [0.000, 0.000, 13.439]], "species": ["C", "C", "Hg", "S", "Sc", "Sc", "Sc", "Sc"], "frac_coords": [[0.333, 0.667, 0.275], [0.333, 0.667, 0.725], [0.000, 0.000, 0.000], [0.667, 0.333, 0.500], [0.667, 0.333, 0.188], [0.000, 0.000, 0.369], [0.000, 0.000, 0.631], [0.667, 0.333, 0.812]]}

=====

{"formula": "Sc4HgSbC2", "functional": "PBE", "state": "relaxed", "sg": "P-6m2, No. 187", "m_tot_mub_per_fu": 0.605, "crystal_system": "hexagonal", "lattice": [[-1.555, 1.128, -2.783], [-1.795, -0.663, 2.789], [1.932, 13.856, 4.536]], "species": ["C", "C", "Hg", "Sb", "Sc", "Sc", "Sc", "Sc"], "frac_coords": [[0.667, 0.333, 0.254], [0.667, 0.333, 0.746], [0.000, 0.000, 0.000], [0.333, 0.667, 0.500], [0.333, 0.667, 0.171], [0.000, 0.000, 0.335], [0.000, 0.000, 0.665], [0.333, 0.667, 0.829]]}

=====

{"formula": "Sc3HgC", "functional": "PBE", "state": "relaxed", "e_above_lowest_polymorph_kcal_per_mol_atoms": 0.143, "sg": "Pm-3m, No. 221", "m_tot_mub_per_fu": 0.725, "crystal_system": "cubic", "lattice": [[4.536, 0.000, 0.000], [0.000, 4.536, 0.000], [0.000, 0.000, 4.536]], "species": ["C", "Hg", "Sc", "Sc", "Sc"], "frac_coords": [[0.500, 0.500, 0.500], [0.000, 0.000, 0.000], [0.500, 0.500, 0.000], [0.500, 0.000, 0.500], [0.000, 0.500, 0.500]]}

=====

{"formula": "Sc3HgC", "functional": "PBE", "state": "relaxed", "e_above_lowest_polymorph_kcal_per_mol_atoms": 0.000, "sg": "I4/mcm, No. 140", "m_tot_mub_per_fu": 0.094, "crystal_system": "tetragonal", "lattice": [[-3.193, 3.193, 4.566], [3.193, -3.193, 4.566], [3.193, 3.193, -4.566]], "species": ["C", "C", "Hg", "Hg", "Sc", "Sc", "Sc", "Sc", "Sc", "Sc"], "frac_coords": [[0.000, 0.000, 0.000], [0.500, 0.500, 0.000], [0.750, 0.250, 0.500], [0.250, 0.750, 0.500], [0.250, 0.250, 0.000], [0.750, 0.750, 0.000], [0.783, 0.283, 0.067], [0.283, 0.217, 0.500], [0.717, 0.783, 0.500], [0.217, 0.717, 0.933]]}

=====

Q: Which raw total energy values were calculated for the entries above? A: -0.44179, -0.53913, -0.36984, -0.38734, -0.52786, -0.28489, -0.47919, -0.35826, -0.50910, -0.48816, -0.45965, -0.46010, in Ry/atom.